No. 1
BiP2NO after structural relaxation, computed with PBE.

a b c (Å): 5.3316 5.3316 4.1310
angles (deg): 90.00 90.00 90.00
With the nearest neighbours (Å) after each atom.
Space group P4/mmm (No. 123)
One atom of each set of equivalent atoms:
Bi (0.0000, 0.0000, 0.0000) (multiplicity 1)  2 O 2.07
P (0.0000, 0.5000, 0.0000) (multiplicity 2)  2 Bi 2.67
N (0.5000, 0.5000, 0.5000) (multiplicity 1)  8 P 3.37, 4 O 3.77
O (0.0000, 0.0000, 0.5000) (multiplicity 1)  2 Bi 2.07

Summary:
- volume (Å³/atom) = 23.5
- uncorrected formation energy (meV/atom) = 2014
- electronic total energy (eV per atom) = -3.583
- spin magnetization (μB per cell) = 1.78


No. 2
RePtCl2 after structural relaxation, computed with PBE.

a b c (Å): 2.8544 4.3425 5.3692
angles (deg): 90.00 90.00 90.00
With the nearest neighbours (Å) after each atom.
Space group Pmmm (No. 47)
One atom of each set of equivalent atoms:
Re (0.0000, 0.0000, 0.0000) (multiplicity 1)  4 Cl 2.60, 2 Re 2.85
Pt (0.5000, 0.0000, 0.5000) (multiplicity 1)  4 Cl 2.60, 2 Pt 2.85
Cl (0.0000, 0.5000, 0.5000) (multiplicity 1)  4 Pt 2.60, 2 Cl 2.85
Cl (0.5000, 0.5000, 0.0000) (multiplicity 1)  4 Re 2.60, 2 Cl 2.85

Summary:
- volume (Å³/atom) = 16.6
- uncorrected formation energy (meV/atom) = 865
- electronic total energy (eV per atom) = -4.680
- spin magnetization (μB per cell) = 1.67


No. 3
LiTlZnGe after structural relaxation, computed with PBE.

a b c (Å): 3.2967 3.9111 6.1474
angles (deg): 90.00 90.00 90.00
With the nearest neighbours (Å) after each atom.
Space group Pmm2 (No. 25)
One atom of each set of equivalent atoms:
Li (0.0000, 0.0000, 0.0000) (multiplicity 1)  1 Ge 2.66, 4 Zn 2.97
Tl (0.5000, 0.5000, 0.2587) (multiplicity 1)  4 Li 3.01, 2 Zn 3.06-3.09, 4 Ge 3.19, 2 Tl 3.30
Zn (0.5000, 0.5000, 0.7558) (multiplicity 1)  4 Ge 2.81, 4 Li 2.97, 2 Tl 3.06-3.09
Ge (0.0000, 0.0000, 0.5680) (multiplicity 1)  1 Li 2.66, 4 Zn 2.81

Summary:
- E_form (eV/atom) = 0.012
- volume (Å³/atom) = 19.8
- electronic total energy (eV per atom) = -2.531
- spin magnetization (μB per cell) = 0.00


No. 4
BaTiNi after structural relaxation, computed with PBE.

a b c (Å): 12.2626 4.7113 5.0319
angles (deg): 90.00 90.00 90.00
With the nearest neighbours (Å) after each atom.
Space group Amm2 (No. 38)
One atom of each set of equivalent atoms:
Ba (0.1612, 0.0000, 0.0000) (multiplicity 4)  4 Ni 3.08-3.21
Ti (0.4050, 0.0000, 0.4998) (multiplicity 4)  1 Ti 2.33, 1 Ni 2.47
Ni (0.0000, 0.0000, 0.4973) (multiplicity 2)  8 Ba 3.08-3.21
Ni (0.5000, 0.0000, 0.0670) (multiplicity 2)  6 Ti 2.47-2.65

Summary:
- E_form (eV/atom) = 0.349
- volume (Å³/atom) = 24.2
- electronic total energy (eV per atom) = -4.851
- spin magnetization (μB per cell) = 0.00


No. 5
DyLuSnPt after structural relaxation, computed with PBE.

a b c (Å): 7.2095 7.2095 7.2095
angles (deg): 90.00 90.00 90.00
With the nearest neighbours (Å) after each atom.
Space group F-43m (No. 216)
One atom of each set of equivalent atoms:
Dy (0.0000, 0.0000, 0.0000) (multiplicity 4)  4 Pt 3.12, 4 Sn 3.12
Lu (0.0000, 0.0000, 0.5000) (multiplicity 4)  4 Sn 3.12, 4 Pt 3.12
Sn (0.2500, 0.2500, 0.2500) (multiplicity 4)  4 Dy 3.12, 4 Lu 3.12
Pt (0.2500, 0.2500, 0.7500) (multiplicity 4)  4 Dy 3.12, 4 Lu 3.12

Summary:
- E_form (eV/atom) = -0.859
- volume (Å³/atom) = 23.4
- electronic total energy (eV per atom) = -5.651
- spin magnetization (μB per cell) = 0.00


No. 6
LiZnIr2 after structural relaxation, computed with PBE.

a b c (Å): 3.9970 3.9970 6.9227
angles (deg): 90.00 90.00 90.00
With the nearest neighbours (Å) after each atom.
Space group I-4m2 (No. 119)
One atom of each set of equivalent atoms:
Li (0.0000, 0.0000, 0.0000) (multiplicity 2)  8 Ir 2.64-2.83, 4 Zn 2.64
Zn (0.0000, 0.5000, 0.7500) (multiplicity 2)  4 Li 2.64, 8 Ir 2.64-2.83
Ir (0.0000, 0.0000, 0.5000) (multiplicity 2)  4 Ir 2.64, 4 Zn 2.64, 4 Li 2.83
Ir (0.0000, 0.5000, 0.2500) (multiplicity 2)  4 Li 2.64, 4 Ir 2.64, 4 Zn 2.83

Summary:
- E_form (eV/atom) = -0.080
- volume (Å³/atom) = 13.8
- electronic total energy (eV per atom) = -5.307
- spin magnetization (μB per cell) = 0.00


No. 7
LiPuCuIr after structural relaxation, computed with PBE.

a b c (Å): 6.4929 6.4929 6.4929
angles (deg): 90.00 90.00 90.00
With the nearest neighbours (Å) after each atom.
Space group F-43m (No. 216)
One atom of each set of equivalent atoms:
Li (0.0000, 0.0000, 0.0000) (multiplicity 4)  4 Pu 2.81, 4 Cu 2.81
Pu (0.2500, 0.2500, 0.2500) (multiplicity 4)  4 Li 2.81, 4 Ir 2.81
Cu (0.2500, 0.2500, 0.7500) (multiplicity 4)  4 Li 2.81, 4 Ir 2.81
Ir (0.0000, 0.0000, 0.5000) (multiplicity 4)  4 Cu 2.81, 4 Pu 2.81

Summary:
- E_form (eV/atom) = -0.034
- volume (Å³/atom) = 17.1
- electronic total energy (eV per atom) = -7.335
- spin magnetization (μB per cell) = 20.62


No. 8
Mg2ScZn after structural relaxation, computed with PBE.

a b c (Å): 3.1605 4.5499 6.0178
angles (deg): 90.00 105.18 90.00
With the nearest neighbours (Å) after each atom.
Space group Pm (No. 6)
One atom of each set of equivalent atoms:
Mg (0.0000, 0.0000, 0.0000) (multiplicity 1)  1 Zn 2.90, 6 Mg 3.06-3.16
Mg (0.3868, 0.5000, 0.7745) (multiplicity 1)  2 Zn 2.78, 4 Mg 3.06-3.07, 1 Sc 3.11
Sc (0.6564, 0.5000, 0.3101) (multiplicity 1)  4 Zn 2.98, 7 Mg 3.11-3.31, 2 Sc 3.16
Zn (0.2517, 0.0000, 0.4994) (multiplicity 1)  3 Mg 2.78-2.90, 4 Sc 2.98

Summary:
- E_form (eV/atom) = -0.107
- volume (Å³/atom) = 20.9
- electronic total energy (eV per atom) = -2.805
- spin magnetization (μB per cell) = 0.00


No. 9
Sr4Cd3Ag after structural relaxation, computed with PBE.

a b c (Å): 4.4717 5.0052 12.4687
angles (deg): 90.00 90.00 90.00
With the nearest neighbours (Å) after each atom.
Space group Pmm2 (No. 25)
One atom of each set of equivalent atoms:
Sr (0.0000, 0.0000, 0.0000) (multiplicity 1)  2 Ag 3.41, 5 Cd 3.47-3.61
Sr (0.0000, 0.5000, 0.2801) (multiplicity 1)  3 Cd 3.43-3.56, 4 Ag 3.48
Sr (0.5000, 0.0000, 0.4887) (multiplicity 1)  6 Cd 3.49-3.55, 1 Ag 3.52
Sr (0.5000, 0.5000, 0.7854) (multiplicity 1)  7 Cd 3.48-3.57
Cd (0.0000, 0.0000, 0.7102) (multiplicity 1)  2 Cd 3.09
Cd (0.0000, 0.5000, 0.5654) (multiplicity 1)  2 Cd 3.09
Cd (0.5000, 0.5000, 0.0715) (multiplicity 1)  2 Ag 3.02
Ag (0.5000, 0.0000, 0.2067) (multiplicity 1)  2 Cd 3.02

Summary:
- E_form (eV/atom) = -0.311
- volume (Å³/atom) = 34.9
- electronic total energy (eV per atom) = -1.851
- spin magnetization (μB per cell) = 0.00


No. 10
Sr2BiRhC after structural relaxation, computed with PBE.

a b c (Å): 6.2995 6.2995 4.4024
angles (deg): 90.00 90.00 90.00
With the nearest neighbours (Å) after each atom.
Space group P4/mmm (No. 123)
One atom of each set of equivalent atoms:
Sr (0.0000, 0.5000, 0.0000) (multiplicity 2)  2 Bi 3.15
Bi (0.0000, 0.0000, 0.0000) (multiplicity 1)  2 C 2.20
Rh (0.5000, 0.5000, 0.5000) (multiplicity 1)  8 Sr 3.84
C (0.0000, 0.0000, 0.5000) (multiplicity 1)  2 Bi 2.20

Summary:
- E_form (eV/atom) = 1.233
- volume (Å³/atom) = 34.9
- electronic total energy (eV per atom) = -3.531
- spin magnetization (μB per cell) = 0.66


No. 11
SiAs2Ru after structural relaxation, computed with PBE.

a b c (Å): 3.0488 3.0488 25.0023
angles (deg): 90.00 90.00 120.00
With the nearest neighbours (Å) after each atom.
Space group R-3m (No. 166, hexagonal axes)
One atom of each set of equivalent atoms:
Si (0.0000, 0.0000, 0.0000) (multiplicity 3)  6 As 2.91, 6 Si 3.05
As (0.0000, 0.0000, 0.2407) (multiplicity 6)  3 Ru 2.55
Ru (0.0000, 0.0000, 0.5000) (multiplicity 3)  6 As 2.55

Summary:
- volume (Å³/atom) = 16.8
- uncorrected formation energy (meV/atom) = 213
- electronic total energy (eV per atom) = -5.786
- spin magnetization (μB per cell) = 0.00


No. 12
HfGeP2O after structural relaxation, computed with PBE.

a b c (Å): 4.7423 4.7423 3.6699
angles (deg): 90.00 90.00 90.00
With the nearest neighbours (Å) after each atom.
Space group P4/mmm (No. 123)
One atom of each set of equivalent atoms:
Hf (0.0000, 0.0000, 0.0000) (multiplicity 1)  8 P 3.00, 4 O 3.35
Ge (0.5000, 0.5000, 0.5000) (multiplicity 1)  2 O 1.83
P (0.0000, 0.5000, 0.5000) (multiplicity 2)  2 Ge 2.37
O (0.5000, 0.5000, 0.0000) (multiplicity 1)  2 Ge 1.83

Summary:
- volume (Å³/atom) = 16.5
- uncorrected formation energy (meV/atom) = -102
- electronic total energy (eV per atom) = -6.172
- spin magnetization (μB per cell) = 0.00


No. 13
Mg2PbSe after structural relaxation, computed with PBE.

a b c (Å): 6.5540 3.7801 8.0750
angles (deg): 90.00 105.79 90.00
With the nearest neighbours (Å) after each atom.
Space group C2/m (No. 12)
One atom of each set of equivalent atoms:
Mg (0.2359, 0.0000, 0.2070) (multiplicity 4)  3 Se 2.71
Pb (0.0000, 0.0000, 0.5000) (multiplicity 2)  6 Mg 3.15-3.16
Se (0.0000, 0.5000, 0.0000) (multiplicity 2)  6 Mg 2.71

Summary:
- volume (Å³/atom) = 24.1
- uncorrected formation energy (meV/atom) = -606
- electronic total energy (eV per atom) = -3.201
- spin magnetization (μB per cell) = 0.00


No. 14
CrPtW2 after structural relaxation, computed with PBE.

a b c (Å): 3.8636 3.8636 4.0270
angles (deg): 90.00 90.00 90.00
With the nearest neighbours (Å) after each atom.
Space group P4/mmm (No. 123)
One atom of each set of equivalent atoms:
Cr (0.0000, 0.0000, 0.0000) (multiplicity 1)  4 Pt 2.73, 8 W 2.79
Pt (0.5000, 0.5000, 0.0000) (multiplicity 1)  4 Cr 2.73, 8 W 2.79
W (0.0000, 0.5000, 0.5000) (multiplicity 2)  4 W 2.73, 4 Pt 2.79, 4 Cr 2.79

Summary:
- E_form (eV/atom) = 0.005
- volume (Å³/atom) = 15.0
- electronic total energy (eV per atom) = -10.388
- spin magnetization (μB per cell) = 1.45


No. 15
Ba2GaCuHg after structural relaxation, computed with PBE.

a b c (Å): 6.2010 6.2010 4.6081
angles (deg): 90.00 90.00 90.00
With the nearest neighbours (Å) after each atom.
Space group P4/mmm (No. 123)
One atom of each set of equivalent atoms:
Ba (0.0000, 0.5000, 0.0000) (multiplicity 2)  2 Cu 3.10
Ga (0.0000, 0.0000, 0.5000) (multiplicity 1)  2 Cu 2.30
Cu (0.0000, 0.0000, 0.0000) (multiplicity 1)  2 Ga 2.30
Hg (0.5000, 0.5000, 0.5000) (multiplicity 1)  8 Ba 3.86

Summary:
- E_form (eV/atom) = -0.235
- volume (Å³/atom) = 35.4
- electronic total energy (eV per atom) = -2.489
- spin magnetization (μB per cell) = 0.00


No. 16
YTeRu2 after structural relaxation, computed with PBE.

a b c (Å): 3.3518 3.3518 24.5909
angles (deg): 90.00 90.00 120.00
With the nearest neighbours (Å) after each atom.
Space group R-3m (No. 166, hexagonal axes)
One atom of each set of equivalent atoms:
Y (0.0000, 0.0000, 0.0000) (multiplicity 3)  6 Ru 2.93
Te (0.0000, 0.0000, 0.5000) (multiplicity 3)  6 Ru 2.71
Ru (0.0000, 0.0000, 0.2437) (multiplicity 6)  3 Te 2.71, 3 Y 2.93

Summary:
- volume (Å³/atom) = 19.9
- uncorrected formation energy (meV/atom) = 230
- electronic total energy (eV per atom) = -6.809
- spin magnetization (μB per cell) = 0.00


No. 17
Tb2PrSm5Y after structural relaxation, computed with PBE.

a b c (Å): 5.6754 20.3589 10.7212
angles (deg): 90.00 90.00 90.00
With the nearest neighbours (Å) after each atom.
Space group Cmc2_1 (No. 36)
One atom of each set of equivalent atoms:
Tb (0.0000, 0.1105, 0.0000) (multiplicity 4)  7 Sm 3.44-3.84, 1 Pr 3.49, 2 Y 3.72
Tb (0.0000, 0.1157, 0.5840) (multiplicity 4)  8 Sm 3.36-3.60, 1 Pr 3.75
Pr (0.0000, 0.2023, 0.2748) (multiplicity 4)  2 Tb 3.49-3.75, 8 Sm 3.53-3.89, 2 Y 3.71
Sm (0.0000, 0.0163, 0.2883) (multiplicity 4)  2 Y 3.28, 3 Tb 3.44-3.64, 2 Sm 3.67
Sm (0.0000, 0.2805, 0.5722) (multiplicity 4)  1 Y 3.10, 1 Tb 3.36, 2 Sm 3.44
Sm (0.0000, 0.2985, 0.9703) (multiplicity 4)  3 Sm 3.44-3.69, 3 Pr 3.53-3.81, 1 Y 3.53, 3 Tb 3.55-3.84
Sm (0.0000, 0.3934, 0.2902) (multiplicity 4)  5 Sm 3.48-3.80, 4 Tb 3.60-3.62, 1 Pr 3.89
Sm (0.0000, 0.4786, 0.0055) (multiplicity 4)  2 Y 3.21-3.35, 2 Sm 3.48-3.51, 2 Tb 3.53
Y (0.0000, 0.4112, 0.7203) (multiplicity 4)  5 Sm 3.10-3.35

Summary:
- E_form (eV/atom) = 0.150
- volume (Å³/atom) = 34.4
- electronic total energy (eV per atom) = -4.750
- spin magnetization (μB per cell) = 0.00


No. 18
Nb7Sn2H2 after structural relaxation, computed with PBE.

a b c (Å): 6.9054 8.8532 6.0099
angles (deg): 90.00 97.57 90.00
With the nearest neighbours (Å) after each atom.
Space group C2/m (No. 12)
One atom of each set of equivalent atoms:
Nb (0.0000, 0.0000, 0.0000) (multiplicity 2)  2 H 1.91
Nb (0.1536, 0.5000, 0.6662) (multiplicity 4)  1 H 1.99
Nb (0.1562, 0.3228, 0.1562) (multiplicity 8)  1 H 1.92
Sn (0.0000, 0.1684, 0.5000) (multiplicity 4)  6 Nb 2.81-3.09, 1 Sn 2.98
H (0.2237, 0.5000, 0.9984) (multiplicity 4)  4 Nb 1.91-1.99

Summary:
- volume (Å³/atom) = 16.6
- electronic total energy (eV per atom) = -7.721
- spin magnetization (μB per cell) = 0.00


No. 19
MnCl6 after structural relaxation, computed with PBE.

a b c (Å): 12.8604 10.8335 6.4053
angles (deg): 90.00 90.00 90.00
With the nearest neighbours (Å) after each atom.
Space group Pnma (No. 62)
One atom of each set of equivalent atoms:
Mn (0.1283, 0.2500, 0.0748) (multiplicity 4)  6 Cl 2.24
Cl (0.0068, 0.2500, 0.8239) (multiplicity 4)  1 Mn 2.24
Cl (0.0401, 0.1054, 0.2511) (multiplicity 8)  1 Mn 2.24
Cl (0.2155, 0.1027, 0.9034) (multiplicity 8)  1 Mn 2.24
Cl (0.2479, 0.7500, 0.8212) (multiplicity 4)  1 Mn 2.24

Summary:
- volume (Å³/atom) = 31.9
- uncorrected formation energy (meV/atom) = -367
- electronic total energy (eV per atom) = -3.259
- spin magnetization (μB per cell) = 20.18


No. 20
HfBiBO5 after structural relaxation, computed with PBE.

a b c (Å): 6.5734 8.7817 7.3002
angles (deg): 90.00 112.79 90.00
With the nearest neighbours (Å) after each atom.
Space group C2/c (No. 15)
One atom of each set of equivalent atoms:
Hf (0.0000, 0.0000, 0.0000) (multiplicity 4)  6 O 1.98-2.14
Bi (0.0000, 0.3434, 0.2500) (multiplicity 4)  5 O 2.25-2.51
B (0.0000, 0.3197, 0.7500) (multiplicity 4)  4 O 1.51-1.53
O (0.0000, 0.0877, 0.2500) (multiplicity 4)  2 Hf 1.98
O (0.0977, 0.2191, 0.6341) (multiplicity 8)  1 B 1.53
O (0.1689, 0.4229, 0.8978) (multiplicity 8)  1 B 1.51

Summary:
- volume (Å³/atom) = 12.1
- uncorrected formation energy (meV/atom) = -2363
- electronic total energy (eV per atom) = -8.026
- spin magnetization (μB per cell) = 0.00